[1]
# NbAlTe PBE relaxed
# Space-group type: I-4m2, No. 119
# Density of states at the Fermi level (states/eV/f.u.): 1.67
# Offset from the most stable computed form (meV per atom): 339
data_NbAlTe
_cell_length_a 3.980
_cell_length_b 3.980
_cell_length_c 8.249
_cell_angle_alpha 90.00
_cell_angle_beta 90.00
_cell_angle_gamma 90.00
_space_group_name_H-M_alt 'P 1'
_space_group_IT_number 1
_space_group_name_Hall 'P 1'
loop_
_atom_site_label
_atom_site_fract_x
_atom_site_fract_y
_atom_site_fract_z
_atom_site_occupancy
Nb1 0.500 0.500 0.000 1
Al1 0.500 0.000 0.250 1
Al2 0.000 0.500 0.750 1
Te1 0.000 0.500 0.250 1
Nb2 0.000 0.000 0.500 1
Te2 0.500 0.000 0.750 1

[2]
# CdFeBr2 PBE relaxed
# Space-group type: R-3m, No. 166
# Density of states at the Fermi level (states/eV/f.u.): 0.00
# Offset from the most stable computed form (meV per atom): 138
data_CdFeBr2
_cell_length_a 10.086
_cell_length_b 10.086
_cell_length_c 10.086
_cell_angle_alpha 20.35
_cell_angle_beta 20.35
_cell_angle_gamma 20.35
_space_group_name_H-M_alt 'P 1'
_space_group_IT_number 1
_space_group_name_Hall 'P 1'
loop_
_atom_site_label
_atom_site_fract_x
_atom_site_fract_y
_atom_site_fract_z
_atom_site_occupancy
Cd1 0.000 0.000 0.000 1
Br1 0.878 0.878 0.878 1
Fe1 0.500 0.500 0.500 1
Br2 0.122 0.122 0.122 1

[3]
# La2HoMgTe5 PBE relaxed
# Space-group type: Cmc2_1, No. 36
# Density of states at the Fermi level (states/eV/f.u.): 2.97
# Raw total energy (eV/atom): -4.875
data_La2HoMgTe5
_cell_length_a 4.418
_cell_length_b 9.821
_cell_length_c 13.569
_cell_angle_alpha 90.00
_cell_angle_beta 90.00
_cell_angle_gamma 103.00
_space_group_name_H-M_alt 'P 1'
_space_group_IT_number 1
_space_group_name_Hall 'P 1'
loop_
_atom_site_label
_atom_site_fract_x
_atom_site_fract_y
_atom_site_fract_z
_atom_site_occupancy
La1 0.887 0.774 0.183 1
Te1 0.285 0.571 0.670 1
Te2 0.951 0.902 0.571 1
Te3 0.049 0.098 0.071 1
Mg1 0.445 0.889 0.454 1
Te4 0.690 0.379 0.852 1
Te5 0.362 0.725 0.000 1
Te6 0.496 0.992 0.773 1
Te7 0.715 0.429 0.170 1
Te8 0.504 0.008 0.273 1
Ho1 0.204 0.407 0.013 1
La2 0.132 0.264 0.307 1
Te9 0.310 0.621 0.352 1
La3 0.113 0.226 0.683 1
La4 0.868 0.736 0.807 1
Mg2 0.555 0.111 0.954 1
Ho2 0.796 0.593 0.513 1
Te10 0.638 0.275 0.500 1

[4]
# Pt2W PBE relaxed
# Calculated formation energy (eV per atom): 0.1450
# Space-group type: I4/mcm, No. 140
# Density of states at the Fermi level (states/eV/f.u.): 3.22
# Offset from the most stable computed form (meV per atom): 496
data_Pt2W
_cell_length_a 5.125
_cell_length_b 5.125
_cell_length_c 5.125
_cell_angle_alpha 104.72
_cell_angle_beta 104.72
_cell_angle_gamma 119.45
_space_group_name_H-M_alt 'P 1'
_space_group_IT_number 1
_space_group_name_Hall 'P 1'
loop_
_atom_site_label
_atom_site_fract_x
_atom_site_fract_y
_atom_site_fract_z
_atom_site_occupancy
W1 0.750 0.750 0.000 1
Pt1 0.145 0.355 0.500 1
Pt2 0.855 0.645 0.500 1
Pt3 0.355 0.855 0.211 1
W2 0.250 0.250 0.000 1
Pt4 0.645 0.145 0.789 1

[5]
# MoPCl PBE relaxed
# Space-group type: I4mm, No. 107
# Density of states at the Fermi level (states/eV/f.u.): 0.09
# Offset from the most stable computed form (meV per atom): 61
data_MoPCl
_cell_length_a 6.670
_cell_length_b 6.670
_cell_length_c 6.670
_cell_angle_alpha 153.90
_cell_angle_beta 153.90
_cell_angle_gamma 37.24
_space_group_name_H-M_alt 'P 1'
_space_group_IT_number 1
_space_group_name_Hall 'P 1'
loop_
_atom_site_label
_atom_site_fract_x
_atom_site_fract_y
_atom_site_fract_z
_atom_site_occupancy
Mo1 0.674 0.674 0.000 1
P1 0.282 0.282 0.000 1
Cl1 0.044 0.044 0.000 1

[6]
# BaLiTl2Zn PBE relaxed
# Calculated formation energy (eV per atom): -0.1389
# Space-group type: P4/mmm, No. 123
# Density of states at the Fermi level (states/eV/f.u.): 3.64
# Offset from the most stable computed form (meV per atom): 0
data_BaLiTl2Zn
_cell_length_a 5.278
_cell_length_b 5.278
_cell_length_c 5.118
_cell_angle_alpha 90.00
_cell_angle_beta 90.00
_cell_angle_gamma 90.00
_space_group_name_H-M_alt 'P 1'
_space_group_IT_number 1
_space_group_name_Hall 'P 1'
loop_
_atom_site_label
_atom_site_fract_x
_atom_site_fract_y
_atom_site_fract_z
_atom_site_occupancy
Tl1 0.000 0.500 0.000 1
Zn1 0.000 0.000 0.500 1
Tl2 0.500 0.000 0.000 1
Li1 0.000 0.000 0.000 1
Ba1 0.500 0.500 0.500 1

Question: Which value of density of states at the Fermi level does entry 5 give?
Answer: 0.09 states/eV/f.u.